GaGeNF2, optimized geometry, DFT GGA-PBE; excess energy over the best structure of this formula in the dataset = 28 meV/atom; formation energy from raw total energies = -776 meV/atom; space-group type = P4/mmm; raw total energy = -4.72 eV per atom; density = 4.9 Mg/m³
1.0
-2.608 3.505 -0.135
-1.365 -0.859 4.062
2.554 1.950 1.271
Ga F Ge N
1 2 1 1
direct
0.500 0.500 0.500
0.500 0.000 0.000
0.000 0.500 0.000
0.000 0.000 0.000
0.000 0.000 0.500